(1)
DFT (PBE) results for an optimized crystal structure of LiLaCr2Ga.

**DOS at the Fermi energy**: 11.0 states/eV/f.u.
**Volume**: 19.381 A^3/atom
**Calculated formation energy**: 8.29 eV per formula unit

Lattice parameters (Å, degrees): 4.5526 4.6755 4.5526 90.00 90.00 90.00
With the nearest neighbours (Å) after each atom.
Positions (direct):
Li1 0.0000 0.5000 0.0000  2 La 2.34
Cr1 0.0000 0.0000 0.5000  2 La 2.28
Cr2 0.5000 0.0000 0.0000  2 La 2.28
La1 0.0000 0.0000 0.0000  4 Cr 2.28, 2 Li 2.34
Ga1 0.5000 0.5000 0.5000  4 Li 3.22, 8 Cr 3.26

=====

(2)
DFT (PBE) results for an optimized crystal structure of LaCrGa2N.

**DOS at the Fermi energy**: 3.2 states/eV/f.u.
**Formation energy without anion corrections**: 0.802 eV/atom
**Volume**: 21.960 A^3/atom

Lattice parameters (Å, degrees): 4.6432 4.6432 5.0930 90.00 90.00 90.00
With the nearest neighbours (Å) after each atom.
Positions (direct):
Cr1 0.0000 0.0000 0.0000  4 Ga 2.32, 2 La 2.55
Ga1 0.0000 0.5000 0.0000  2 Cr 2.32
Ga2 0.5000 0.0000 0.0000  2 Cr 2.32
La1 0.0000 0.0000 0.5000  2 Cr 2.55
N1 0.5000 0.5000 0.5000  4 La 3.28, 8 Ga 3.45

=====

(3)
DFT (PBE) results for an optimized crystal structure of La2CrGaN.

**DOS at the Fermi energy**: 3.9 states/eV/f.u.
**Formation energy without anion corrections**: -0.639 eV/atom
**Volume**: 21.464 A^3/atom

Lattice parameters (Å, degrees): 5.3053 5.3053 3.8129 90.00 90.00 90.00
With the nearest neighbours (Å) after each atom.
Positions (direct):
Cr1 0.0000 0.0000 0.5000  2 N 1.91
Ga1 0.5000 0.5000 0.5000  8 La 3.27
La1 0.0000 0.5000 0.0000  2 N 2.65
La2 0.5000 0.0000 0.0000  2 N 2.65
N1 0.0000 0.0000 0.0000  2 Cr 1.91

=====

(4)
DFT (PBE) results for an optimized crystal structure of LaNb2CrGa.

**DOS at the Fermi energy**: 7.8 states/eV/f.u.
**Volume**: 25.235 A^3/atom
**Calculated formation energy**: 7.29 eV per formula unit

Lattice parameters (Å, degrees): 4.8063 5.4621 4.8063 90.00 90.00 90.00
With the nearest neighbours (Å) after each atom.
Positions (direct):
Nb1 0.0000 0.0000 0.5000  2 Ga 2.40
Nb2 0.5000 0.0000 0.0000  2 Ga 2.40
La1 0.0000 0.5000 0.0000  2 Ga 2.73
Ga1 0.0000 0.0000 0.0000  4 Nb 2.40
Cr1 0.5000 0.5000 0.5000  4 La 3.40, 8 Nb 3.64

=====

(5)
DFT (PBE) results for an optimized crystal structure of La2CrGa3Ni12.

**DOS at the Fermi energy**: 17.1 states/eV/f.u.
**Volume**: 15.309 A^3/atom
**Calculated formation energy**: 0.49 eV per formula unit

Lattice parameters (Å, degrees): 9.0847 9.0847 9.0847 39.71 39.71 39.71
With the nearest neighbours (Å) after each atom.
Positions (direct):
Ni1 0.4185 0.4185 0.8115  2 Ga 2.35, 4 Ni 2.42-2.43
Ni2 0.5815 0.1885 0.5815  2 Ga 2.35, 4 Ni 2.42-2.43
Ni3 0.1885 0.5815 0.5815  2 Ga 2.35, 4 Ni 2.42-2.43
Ni4 0.6547 0.0673 0.0673  1 Cr 2.29, 4 Ni 2.43-2.55, 1 Ga 2.44
Ni5 0.4185 0.8115 0.4185  2 Ga 2.35, 4 Ni 2.42-2.43
Ni6 0.9327 0.3453 0.9327  1 Cr 2.29, 4 Ni 2.43-2.55, 1 Ga 2.44
Ni7 0.0673 0.6547 0.0673  1 Cr 2.29, 4 Ni 2.43-2.55, 1 Ga 2.44
Ni8 0.9327 0.9327 0.3453  1 Cr 2.29, 4 Ni 2.43-2.55, 1 Ga 2.44
Ni9 0.0673 0.0673 0.6547  1 Cr 2.29, 4 Ni 2.43-2.55, 1 Ga 2.44
Ni10 0.3453 0.9327 0.9327  1 Cr 2.29, 4 Ni 2.43-2.55, 1 Ga 2.44
Ni11 0.5815 0.5815 0.1885  2 Ga 2.35, 4 Ni 2.42-2.43
Ni12 0.8115 0.4185 0.4185  2 Ga 2.35, 4 Ni 2.42-2.43
Cr1 0.0000 0.0000 0.0000  6 Ni 2.29
Ga1 0.5000 0.0000 0.0000  6 Ni 2.35-2.44
Ga2 0.0000 0.0000 0.5000  6 Ni 2.35-2.44
Ga3 0.0000 0.5000 0.0000  6 Ni 2.35-2.44
La1 0.3439 0.3439 0.3439  6 Ni 2.91-3.02
La2 0.6561 0.6561 0.6561  6 Ni 2.91-3.02

=====

Number 1: uncorrected energy -20.8 eV/f.u., magnetic moment 0.00 μB per cell. Number 2: uncorrected energy -24.9 eV/f.u., magnetic moment 2.64 μB per cell. Number 3: uncorrected energy -34.0 eV/f.u., magnetic moment 2.13 μB per cell. Number 4: uncorrected energy -30.4 eV/f.u., magnetic moment 1.25 μB per cell. Number 5: uncorrected energy -97.4 eV/f.u., magnetic moment 2.36 μB per cell.